(1)
{"formula": "Cs2RePb", "functional": "PBE", "state": "optimized geometry", "n_ef_per_ev_atom": 0.778, "e_form_ev_per_atom": 1.643, "lattice": [[-4.918, -0.709, 3.233], [-3.104, 4.737, 1.751], [-5.307, 1.116, -2.394]], "species": ["Pb", "Re", "Cs", "Cs"], "frac_coords": [[0.500, 0.500, 0.500], [0.000, 0.000, 0.000], [0.250, 0.250, 0.250], [0.750, 0.750, 0.750]]}

=====

(2)
{"formula": "CsRePb3", "functional": "PBE", "state": "optimized geometry", "n_ef_per_ev_atom": 1.491, "e_form_ev_per_atom": 2.454, "e_above_lowest_polymorph_mev_per_atom": 2006, "lattice": [[6.185, 0.000, 0.000], [0.000, 6.185, 0.000], [0.000, 0.000, 6.185]], "species": ["Pb", "Pb", "Pb", "Re", "Cs"], "frac_coords": [[0.000, 0.500, 0.000], [0.000, 0.000, 0.500], [0.500, 0.000, 0.000], [0.500, 0.500, 0.500], [0.000, 0.000, 0.000]]}

=====

(3)
{"formula": "Cs3RePb", "functional": "PBE", "state": "optimized geometry", "n_ef_per_ev_atom": 1.051, "e_form_ev_per_atom": 1.473, "lattice": [[6.206, 0.000, 0.000], [0.000, 6.206, 0.000], [0.000, 0.000, 6.206]], "species": ["Pb", "Re", "Cs", "Cs", "Cs"], "frac_coords": [[0.500, 0.500, 0.500], [0.000, 0.000, 0.000], [0.000, 0.500, 0.000], [0.000, 0.000, 0.500], [0.500, 0.000, 0.000]]}

=====

(4)
{"formula": "Cs2RePb2", "functional": "PBE", "state": "optimized geometry", "n_ef_per_ev_atom": 0.941, "e_form_ev_per_atom": 1.206, "lattice": [[4.427, 0.000, 0.000], [0.000, 4.427, 0.000], [2.214, 2.214, 11.570]], "species": ["Pb", "Pb", "Re", "Cs", "Cs"], "frac_coords": [[0.750, 0.250, 0.500], [0.250, 0.750, 0.500], [0.000, 0.000, 0.000], [0.406, 0.406, 0.189], [0.594, 0.594, 0.811]]}

=====

(5)
{"formula": "CsRe3Pb", "functional": "PBE", "state": "optimized geometry", "n_ef_per_ev_atom": 1.456, "e_form_ev_per_atom": 3.856, "e_above_lowest_polymorph_mev_per_atom": 702, "lattice": [[5.027, 0.000, 0.000], [0.000, 5.027, 0.000], [0.000, 0.000, 5.027]], "species": ["Pb", "Re", "Re", "Re", "Cs"], "frac_coords": [[0.500, 0.500, 0.500], [0.000, 0.500, 0.000], [0.000, 0.000, 0.500], [0.500, 0.000, 0.000], [0.000, 0.000, 0.000]]}

=====

(6)
{"formula": "CsRe3Pb", "functional": "PBE", "state": "optimized geometry", "n_ef_per_ev_atom": 0.956, "e_form_ev_per_atom": 3.154, "e_above_lowest_polymorph_mev_per_atom": 0, "lattice": [[5.181, 0.000, 0.000], [0.000, 5.181, 0.000], [0.000, 0.000, 5.181]], "species": ["Pb", "Re", "Re", "Re", "Cs"], "frac_coords": [[0.000, 0.000, 0.000], [0.000, 0.500, 0.000], [0.000, 0.000, 0.500], [0.500, 0.000, 0.000], [0.500, 0.500, 0.500]]}

=====

(7)
{"formula": "CsReSnPb2", "functional": "PBE", "state": "optimized geometry", "n_ef_per_ev_atom": 1.499, "e_form_ev_per_atom": 2.496, "lattice": [[6.200, 0.000, 0.000], [0.000, 6.106, 0.000], [0.000, 0.000, 6.200]], "species": ["Pb", "Pb", "Re", "Sn", "Cs"], "frac_coords": [[0.000, 0.000, 0.500], [0.500, 0.000, 0.000], [0.500, 0.500, 0.500], [0.000, 0.500, 0.000], [0.000, 0.000, 0.000]]}

=====

(8)
{"formula": "Cs2RhPb", "functional": "PBE", "state": "optimized geometry", "n_ef_per_ev_atom": 1.615, "e_form_ev_per_atom": 0.823, "e_above_lowest_polymorph_mev_per_atom": 632, "lattice": [[0.000, 4.254, 4.254], [4.254, 0.000, 4.254], [4.254, 4.254, 0.000]], "species": ["Pb", "Cs", "Cs", "Rh"], "frac_coords": [[0.500, 0.500, 0.500], [0.250, 0.250, 0.250], [0.750, 0.750, 0.750], [0.000, 0.000, 0.000]]}

=====

(9)
{"formula": "CsRh3Pb", "functional": "PBE", "state": "optimized geometry", "n_ef_per_ev_atom": 0.864, "e_form_ev_per_atom": 1.725, "lattice": [[5.002, 0.000, 0.000], [0.000, 5.002, 0.000], [0.000, 0.000, 5.002]], "species": ["Pb", "Cs", "Rh", "Rh", "Rh"], "frac_coords": [[0.500, 0.500, 0.500], [0.000, 0.000, 0.000], [0.000, 0.500, 0.000], [0.000, 0.000, 0.500], [0.500, 0.000, 0.000]]}

=====

(10)
{"formula": "CsRh2Pb2", "functional": "PBE", "state": "optimized geometry", "n_ef_per_ev_atom": 0.793, "e_form_ev_per_atom": 0.263, "e_above_lowest_polymorph_mev_per_atom": 325, "lattice": [[-6.816, -4.894, 2.597], [4.764, -3.074, 6.710], [-1.025, 2.395, 1.824]], "species": ["Pb", "Pb", "Pb", "Pb", "Cs", "Cs", "Rh", "Rh", "Rh", "Rh"], "frac_coords": [[0.369, 0.869, 0.000], [0.869, 0.631, 0.000], [0.631, 0.131, 0.000], [0.131, 0.369, 0.000], [0.000, 0.000, 0.000], [0.500, 0.500, 0.000], [0.150, 0.650, 0.500], [0.650, 0.850, 0.500], [0.850, 0.350, 0.500], [0.350, 0.150, 0.500]]}

=====

(11)
{"formula": "CsRhPb4", "functional": "PBE", "state": "optimized geometry", "n_ef_per_ev_atom": 0.407, "e_form_ev_per_atom": -0.058, "lattice": [[6.773, -0.067, 0.056], [-0.026, 7.461, 0.612], [-3.284, -2.439, 7.672]], "species": ["Cs", "Cs", "Rh", "Rh", "Pb", "Pb", "Pb", "Pb", "Pb", "Pb", "Pb", "Pb"], "frac_coords": [[0.985, 0.752, 0.005], [0.015, 0.248, 0.995], [0.500, 0.000, 0.500], [0.000, 0.500, 0.500], [0.388, 0.965, 0.775], [0.619, 0.494, 0.218], [0.612, 0.035, 0.225], [0.381, 0.506, 0.782], [0.877, 0.847, 0.561], [0.318, 0.644, 0.424], [0.123, 0.153, 0.439], [0.682, 0.356, 0.576]]}

=====

(12)
{"formula": "CsRh2Pb2", "functional": "PBE", "state": "optimized geometry", "n_ef_per_ev_atom": 1.438, "e_form_ev_per_atom": 0.078, "e_above_lowest_polymorph_mev_per_atom": 141, "lattice": [[3.857, 0.000, 0.000], [0.000, 3.857, 0.000], [0.000, 0.000, 9.707]], "species": ["Cs", "Rh", "Rh", "Pb", "Pb"], "frac_coords": [[0.000, 0.000, 0.000], [0.500, 0.000, 0.500], [0.000, 0.500, 0.500], [0.500, 0.500, 0.711], [0.500, 0.500, 0.289]]}